[1]
A relaxed Zr2FeAs crystal, computed with PBE.

Summary:
The formation enthalpy at 0 K is -0.32 eV/atom. Its space group is P4mm. As for the density of states at the Fermi level: 4.26 states/eV/f.u.

Cell lengths 3.744, 3.744, 5.581 Å; angles 90.00, 90.00, 90.00 degrees
Element x y z (fractional)
Zr 0.000 0.000 0.000
Zr 0.500 0.500 0.374
Fe 0.500 0.500 0.949
As 0.000 0.000 0.507



[2]
A relaxed Ce2InAs3Pd4 crystal, computed with PBE.

Summary:
The formation enthalpy at 0 K is -0.81 eV/atom. Its space group is P-4m2. As for the density of states at the Fermi level: 12.50 states/eV/f.u.

Cell lengths 4.231, 4.231, 11.173 Å; angles 90.00, 90.00, 90.00 degrees
Element x y z (fractional)
Ce 0.000 0.500 0.229
Ce 0.500 0.000 0.771
In 0.000 0.000 0.500
As 0.000 0.500 0.868
As 0.500 0.000 0.132
As 0.500 0.500 0.500
Pd 0.000 0.000 0.000
Pd 0.000 0.500 0.650
Pd 0.500 0.000 0.350
Pd 0.500 0.500 0.000



[3]
A relaxed Th2Zn3Rh4 crystal, computed with PBE.

Summary:
The formation enthalpy at 0 K is -0.71 eV/atom. Its space group is Cmce. As for the density of states at the Fermi level: 4.11 states/eV/f.u.

Cell lengths 8.503, 8.503, 7.183 Å; angles 90.00, 90.00, 141.19 degrees
Element x y z (fractional)
Th 0.109 0.891 0.917
Th 0.391 0.609 0.417
Th 0.609 0.391 0.583
Th 0.891 0.109 0.083
Zn 0.000 0.000 0.500
Zn 0.021 0.479 0.750
Zn 0.479 0.021 0.250
Zn 0.500 0.500 0.000
Zn 0.521 0.979 0.750
Zn 0.979 0.521 0.250
Rh 0.168 0.832 0.536
Rh 0.182 0.318 0.750
Rh 0.318 0.182 0.250
Rh 0.332 0.668 0.036
Rh 0.668 0.332 0.964
Rh 0.682 0.818 0.750
Rh 0.818 0.682 0.250
Rh 0.832 0.168 0.464



[4]
A relaxed Er5SbPt2 crystal, computed with PBE.

Summary:
Its space group is I4/mcm. The calculated total energy comes out at -5.894 eV per atom. As for the density of states at the Fermi level: 6.45 states/eV/f.u.

Cell lengths 8.698, 8.698, 8.698 Å; angles 127.63, 127.63, 77.23 degrees
Element x y z (fractional)
Er 0.000 0.000 0.000
Er 0.018 0.518 0.814
Er 0.204 0.018 0.500
Er 0.296 0.796 0.814
Er 0.482 0.296 0.500
Er 0.500 0.500 0.000
Er 0.518 0.704 0.500
Er 0.704 0.204 0.186
Er 0.796 0.982 0.500
Er 0.982 0.482 0.186
Sb 0.250 0.250 0.000
Sb 0.750 0.750 0.000
Pt 0.139 0.361 0.500
Pt 0.361 0.861 0.222
Pt 0.639 0.139 0.778
Pt 0.861 0.639 0.500



[5]
A relaxed CsCa3Pb crystal, computed with PBE.

Summary:
The value obtained for the distance to the lowest polymorph of the same formula is 1.011 eV per atom. The formation enthalpy at 0 K is 0.95 eV/atom. Its space group is Pm-3m. As for the density of states at the Fermi level: 8.01 states/eV/f.u.

Cell lengths 5.848, 5.848, 5.848 Å; angles 90.00, 90.00, 90.00 degrees
Element x y z (fractional)
Cs 0.000 0.000 0.000
Ca 0.000 0.000 0.500
Ca 0.000 0.500 0.000
Ca 0.500 0.000 0.000
Pb 0.500 0.500 0.500



[6]
A relaxed TbAs2 crystal, computed with PBE.

Summary:
The formation enthalpy at 0 K is -0.81 eV/atom. Its space group is I4/mmm. As for the density of states at the Fermi level: 1.89 states/eV/f.u.

Cell lengths 9.216, 9.216, 9.216 Å; angles 155.46, 155.46, 34.98 degrees
Element x y z (fractional)
Tb 0.136 0.136 0.000
Tb 0.864 0.864 0.000
As 0.000 0.500 0.500
As 0.308 0.308 0.000
As 0.500 0.000 0.500
As 0.692 0.692 0.000



[7]
A relaxed PuNpSnAu crystal, computed with PBE.

Summary:
The formation enthalpy at 0 K is 0.02 eV/atom. Its space group is F-43m. As for the density of states at the Fermi level: 15.46 states/eV/f.u.

Cell lengths 5.130, 5.130, 5.130 Å; angles 60.00, 60.00, 60.00 degrees
Element x y z (fractional)
Pu 0.000 0.000 0.000
Np 0.750 0.750 0.750
Sn 0.500 0.500 0.500
Au 0.250 0.250 0.250



[8]
A relaxed Pr4Ga2H crystal, computed with PBE.

Summary:
The value obtained for the distance to the lowest polymorph of the same formula is 0.138 eV per atom. Its space group is P2/m. As for the density of states at the Fermi level: 7.29 states/eV/f.u.

Cell lengths 6.990, 3.575, 7.788 Å; angles 90.00, 105.57, 90.00 degrees
Element x y z (fractional)
Pr 0.086 0.000 0.296
Pr 0.403 0.500 0.698
Pr 0.597 0.500 0.302
Pr 0.914 0.000 0.704
Ga 0.309 0.000 0.003
Ga 0.691 0.000 0.997
H 0.000 0.500 0.500



[9]
A relaxed LiZr2GaN crystal, computed with PBE.

Summary:
Its space group is P4/mmm. The calculated total energy comes out at -6.931 eV per atom. As for the density of states at the Fermi level: 2.19 states/eV/f.u.

Cell lengths 4.446, 4.446, 4.007 Å; angles 90.00, 90.00, 90.00 degrees
Element x y z (fractional)
Li 0.000 0.000 0.000
Zr 0.000 0.500 0.500
Zr 0.500 0.000 0.500
Ga 0.500 0.500 0.000
N 0.000 0.000 0.500



[10]
A relaxed ScVPd2 crystal, computed with PBE.

Summary:
The formation enthalpy at 0 K is -0.40 eV/atom. Its space group is P4/mmm. As for the density of states at the Fermi level: 3.34 states/eV/f.u.

Cell lengths 2.932, 2.932, 7.518 Å; angles 90.00, 90.00, 90.00 degrees
Element x y z (fractional)
Sc 0.000 0.000 0.000
V 0.000 0.000 0.500
Pd 0.500 0.500 0.268
Pd 0.500 0.500 0.732



[11]
A relaxed RbY3Os crystal, computed with PBE.

Summary:
The value obtained for the distance to the lowest polymorph of the same formula is 1.921 eV per atom. The formation enthalpy at 0 K is 2.05 eV/atom. Its space group is Pm-3m. As for the density of states at the Fermi level: 4.48 states/eV/f.u.

Cell lengths 5.187, 5.187, 5.187 Å; angles 90.00, 90.00, 90.00 degrees
Element x y z (fractional)
Rb 0.000 0.000 0.000
Y 0.000 0.000 0.500
Y 0.000 0.500 0.000
Y 0.500 0.000 0.000
Os 0.500 0.500 0.500



[12]
A relaxed Hf2Mn3Ge crystal, computed with PBE.

Summary:
The formation enthalpy at 0 K is -0.34 eV/atom. Its space group is C2/m. As for the density of states at the Fermi level: 7.41 states/eV/f.u.

Cell lengths 4.972, 4.972, 5.028 Å; angles 119.91, 119.91, 59.40 degrees
Element x y z (fractional)
Hf 0.121 0.121 0.362
Hf 0.879 0.879 0.638
Mn 0.000 0.500 0.000
Mn 0.500 0.000 0.000
Mn 0.500 0.500 0.000
Ge 0.500 0.500 0.500



[13]
A relaxed LaS2F crystal, computed with PBE.

Summary:
The value obtained for the distance to the lowest polymorph of the same formula is 0.000 eV per atom. Its space group is I-42d. As for the density of states at the Fermi level: 1.26 states/eV/f.u.

Cell lengths 10.916, 10.916, 10.916 Å; angles 160.20, 160.20, 28.14 degrees
Element x y z (fractional)
La 0.000 0.000 0.000
La 0.750 0.250 0.500
S 0.124 0.625 0.999
S 0.375 0.374 0.499
S 0.626 0.125 0.001
S 0.875 0.876 0.501
F 0.250 0.750 0.500
F 0.500 0.500 0.000



[14]
A relaxed Tl2GaGeSe4 crystal, computed with PBE.

Summary:
Its space group is Fddd. The calculated total energy comes out at -3.670 eV per atom. As for the density of states at the Fermi level: 3.39 states/eV/f.u.

Cell lengths 13.346, 11.876, 7.524 Å; angles 83.73, 62.19, 34.08 degrees
Element x y z (fractional)
Tl 0.061 0.061 0.689
Tl 0.311 0.311 0.939
Tl 0.689 0.689 0.061
Tl 0.939 0.939 0.311
Ga 0.125 0.125 0.125
Ga 0.875 0.875 0.875
Ge 0.375 0.375 0.375
Ge 0.625 0.625 0.625
Se 0.046 0.317 0.413
Se 0.276 0.587 0.683
Se 0.317 0.046 0.724
Se 0.413 0.724 0.046
Se 0.587 0.276 0.954
Se 0.683 0.954 0.276
Se 0.724 0.413 0.317
Se 0.954 0.683 0.587



[15]
A relaxed NbMo4Ir5 crystal, computed with PBE.

Summary:
The formation enthalpy at 0 K is -0.34 eV/atom. Its space group is P4/mmm. As for the density of states at the Fermi level: 7.95 states/eV/f.u.

Cell lengths 2.780, 2.780, 19.726 Å; angles 90.00, 90.00, 90.00 degrees
Element x y z (fractional)
Nb 0.000 0.000 0.000
Mo 0.000 0.000 0.201
Mo 0.000 0.000 0.401
Mo 0.000 0.000 0.599
Mo 0.000 0.000 0.799
Ir 0.500 0.500 0.105
Ir 0.500 0.500 0.302
Ir 0.500 0.500 0.500
Ir 0.500 0.500 0.698
Ir 0.500 0.500 0.895



[16]
A relaxed Sr2ThZn6 crystal, computed with PBE.

Summary:
The formation enthalpy at 0 K is -0.21 eV/atom. Its space group is P6/mmm. As for the density of states at the Fermi level: 8.13 states/eV/f.u.

Cell lengths 8.055, 8.055, 3.754 Å; angles 90.00, 90.00, 120.00 degrees
Element x y z (fractional)
Sr 0.333 0.667 0.000
Sr 0.667 0.333 0.000
Th 0.000 0.000 0.000
Zn 0.000 0.330 0.500
Zn 0.000 0.670 0.500
Zn 0.330 0.000 0.500
Zn 0.330 0.330 0.500
Zn 0.670 0.000 0.500
Zn 0.670 0.670 0.500



[17]
A relaxed La2RhBr crystal, computed with PBE.

Summary:
The value obtained for the distance to the lowest polymorph of the same formula is 0.317 eV per atom. Its space group is Immm. As for the density of states at the Fermi level: 2.50 states/eV/f.u.

Cell lengths 5.486, 5.486, 5.486 Å; angles 132.83, 110.84, 87.96 degrees
Element x y z (fractional)
La 0.230 0.230 0.000
La 0.770 0.770 0.000
Rh 0.000 0.500 0.500
Br 0.500 0.000 0.500



[18]
A relaxed Mn2AgRh crystal, computed with PBE.

Summary:
The formation enthalpy at 0 K is 0.06 eV/atom. Its space group is Pmmm. As for the density of states at the Fermi level: 2.04 states/eV/f.u.

Cell lengths 3.043, 3.072, 6.654 Å; angles 90.00, 90.00, 90.00 degrees
Element x y z (fractional)
Mn 0.000 0.000 0.229
Mn 0.000 0.000 0.771
Ag 0.500 0.500 0.500
Rh 0.500 0.500 0.000



[19]
A relaxed Mn2Tl3AgCl9 crystal, computed with PBE.

Summary:
Its space group is P-3m1. The calculated total energy comes out at -3.948 eV per atom. As for the density of states at the Fermi level: 1.82 states/eV/f.u.

Cell lengths 7.137, 7.137, 8.801 Å; angles 90.00, 90.00, 120.00 degrees
Element x y z (fractional)
Mn 0.333 0.667 0.165
Mn 0.667 0.333 0.835
Tl 0.000 0.000 0.000
Tl 0.333 0.667 0.653
Tl 0.667 0.333 0.347
Ag 0.000 0.000 0.500
Cl 0.000 0.500 0.000
Cl 0.173 0.346 0.320
Cl 0.173 0.827 0.320
Cl 0.346 0.173 0.680
Cl 0.500 0.000 0.000
Cl 0.500 0.500 0.000
Cl 0.654 0.827 0.320
Cl 0.827 0.173 0.680
Cl 0.827 0.654 0.680



[20]
A relaxed Nd5Ho3As8 crystal, computed with PBE.

Summary:
The formation enthalpy at 0 K is -1.51 eV/atom. Its space group is R-3m. As for the density of states at the Fermi level: 2.06 states/eV/f.u.

Cell lengths 8.418, 8.418, 8.418 Å; angles 60.02, 60.02, 60.02 degrees
Element x y z (fractional)
Nd 0.000 0.000 0.000
Nd 0.000 0.500 0.500
Nd 0.500 0.000 0.500
Nd 0.500 0.500 0.000
Nd 0.500 0.500 0.500
Ho 0.000 0.000 0.500
Ho 0.000 0.500 0.000
Ho 0.500 0.000 0.000
As 0.243 0.750 0.750
As 0.246 0.246 0.246
As 0.250 0.250 0.757
As 0.250 0.757 0.250
As 0.750 0.243 0.750
As 0.750 0.750 0.243
As 0.754 0.754 0.754
As 0.757 0.250 0.250